[1]
Crystalline YScIn at its relaxed geometry. Source: the Alexandria database, functional PBE.

- Energy relative to the lowest polymorph listed for this composition: 792 meV/atom
- Total energy: -4.770 eV per atom
- ΔH_f (0 K): 407.7 meV per atom

abc: 7.1932 7.1932 7.1932
angles: 90.00 90.00 90.00
Space group F-43m (No. 216)
Inequivalent atoms, fractional coordinates:
Y: 0.0000 0.0000 0.0000
Sc: 0.2500 0.2500 0.7500
In: 0.2500 0.2500 0.2500

[2]
Crystalline U3Ni8Ir at its relaxed geometry. Source: the Alexandria database, functional PBE.

- Total energy: -7.688 eV per atom
- ΔH_f (0 K): -273.1 meV per atom

abc: 4.8883 4.8883 24.3036
angles: 90.00 90.00 120.00
Space group R3m (No. 160, hexagonal axes)
Inequivalent atoms, fractional coordinates:
U: 0.0000 0.0000 0.0000
U: 0.0000 0.0000 0.1270
U: 0.0000 0.0000 0.6155
Ni: 0.0000 0.0000 0.3105
Ni: 0.0000 0.0000 0.8100
Ni: 0.0009 0.5004 0.5596
Ni: 0.0020 0.5010 0.0614
Ir: 0.0000 0.0000 0.4957

[3]
Crystalline KMgSc2F at its relaxed geometry. Source: the Alexandria database, functional PBE.

- Total energy: -3.108 eV per atom
- Formation energy without anion corrections: 0.34 eV per atom

abc: 5.8165 5.8165 4.3296
angles: 90.00 90.00 90.00
Space group P4/mmm (No. 123)
Inequivalent atoms, fractional coordinates:
K: 0.0000 0.0000 0.0000
Mg: 0.5000 0.5000 0.5000
Sc: 0.0000 0.5000 0.0000
F: 0.0000 0.0000 0.5000

[4]
Crystalline Cs2TaSCl6 at its relaxed geometry. Source: the Alexandria database, functional PBE.

- Total energy: -4.097 eV per atom
- Formation energy without anion corrections: -1.22 eV per atom

abc: 7.9051 7.9051 11.6860
angles: 90.00 90.00 90.00
Space group I4/mmm (No. 139)
Inequivalent atoms, fractional coordinates:
Cs: 0.0000 0.5000 0.2500
Ta: 0.0000 0.0000 0.0000
S: 0.0000 0.0000 0.5000
Cl: 0.0000 0.0000 0.2050
Cl: 0.2139 0.2139 0.0000